Entry 1:
# Pm3Cd7Hg2 (PBE-GGA, optimized geometry)
data_Pm3Cd7Hg2
_space_group_name_H-M_alt 'P 1 2/m 1'
_space_group_IT_number 10
_space_group_name_Hall '-P 2y'
_cell_length_a 4.9197
_cell_length_b 4.0453
_cell_length_c 15.7775
_cell_angle_alpha 90.00
_cell_angle_beta 98.94
_cell_angle_gamma 90.00
loop_
_atom_site_label
_atom_site_fract_x
_atom_site_fract_y
_atom_site_fract_z
Pm1 0.0000 0.0000 0.0000
Pm2 0.3195 0.5000 0.6422
Cd1 0.0772 0.5000 0.1539
Cd2 0.2309 0.0000 0.4616
Cd3 0.4187 0.0000 0.8382
Cd4 0.5000 0.5000 0.0000
Hg1 0.1419 0.0000 0.2838
# raw total energy	-1.998	eV/atom
# mass density	8.69	g/cm3

Entry 2:
# PmCd2Hg8 (PBE-GGA, optimized geometry)
data_PmCd2Hg8
_space_group_name_H-M_alt 'C 1 2/m 1'
_space_group_IT_number 12
_space_group_name_Hall '-C 2y'
_cell_length_a 15.4669
_cell_length_b 5.1233
_cell_length_c 8.3507
_cell_angle_alpha 90.00
_cell_angle_beta 122.44
_cell_angle_gamma 90.00
loop_
_atom_site_label
_atom_site_fract_x
_atom_site_fract_y
_atom_site_fract_z
Pm1 0.0000 0.0000 0.0000
Cd1 0.2198 0.5000 0.7178
Hg1 0.0028 0.5000 0.6896
Hg2 0.1396 0.0000 0.4524
Hg3 0.1437 0.0000 0.8340
Hg4 0.1491 0.5000 0.1532
# raw total energy	-0.943	eV/atom
# mass density	11.74	g/cm3

Entry 3:
# PmCd12Hg7 (PBE-GGA, optimized geometry)
data_PmCd12Hg7
_space_group_name_H-M_alt 'R -3 m'
_space_group_IT_number 166
_space_group_name_Hall '-R 3 2"'
_cell_length_a 12.0567
_cell_length_b 12.0567
_cell_length_c 11.5588
_cell_angle_alpha 90.00
_cell_angle_beta 90.00
_cell_angle_gamma 120.00
loop_
_atom_site_label
_atom_site_fract_x
_atom_site_fract_y
_atom_site_fract_z
Pm1 0.0000 0.0000 0.0000
Cd1 0.0000 0.2746 0.0000
Cd2 0.0422 0.5211 0.1263
Hg1 0.0000 0.0000 0.5000
Hg2 0.0880 0.1760 0.7709
# raw total energy	-0.945	eV/atom
# mass density	9.92	g/cm3

Entry 4:
# Pm4Cd2Hg5 (PBE-GGA, optimized geometry)
data_Pm4Cd2Hg5
_space_group_name_H-M_alt 'P 1 2/m 1'
_space_group_IT_number 10
_space_group_name_Hall '-P 2y'
_cell_length_a 8.0818
_cell_length_b 3.5990
_cell_length_c 10.2257
_cell_angle_alpha 90.00
_cell_angle_beta 96.28
_cell_angle_gamma 90.00
loop_
_atom_site_label
_atom_site_fract_x
_atom_site_fract_y
_atom_site_fract_z
Pm1 0.1835 0.0000 0.3918
Pm2 0.2754 0.0000 0.9292
Cd1 0.0696 0.5000 0.1339
Hg1 0.1669 0.5000 0.6582
Hg2 0.4402 0.5000 0.1958
Hg3 0.5000 0.5000 0.5000
# raw total energy	-2.374	eV/atom
# mass density	10.15	g/cm3

Entry 5:
# Pm5CdHg8 (PBE-GGA, optimized geometry)
data_Pm5CdHg8
_space_group_name_H-M_alt 'I -4'
_space_group_IT_number 82
_space_group_name_Hall 'I -4'
_cell_length_a 9.2114
_cell_length_b 9.2114
_cell_length_c 9.1138
_cell_angle_alpha 90.00
_cell_angle_beta 90.00
_cell_angle_gamma 90.00
loop_
_atom_site_label
_atom_site_fract_x
_atom_site_fract_y
_atom_site_fract_z
Pm1 0.0000 0.0000 0.0000
Pm2 0.1165 0.7481 0.6389
Cd1 0.0000 0.5000 0.2500
Hg1 0.0802 0.6653 0.9751
Hg2 0.0837 0.8200 0.2982
# raw total energy	-2.297	eV/atom
# mass density	10.49	g/cm3

Entry 6:
# Pm3Cd2Hg4 (PBE-GGA, optimized geometry)
data_Pm3Cd2Hg4
_space_group_name_H-M_alt 'C 1 2/m 1'
_space_group_IT_number 12
_space_group_name_Hall '-C 2y'
_cell_length_a 11.1486
_cell_length_b 5.0314
_cell_length_c 9.3548
_cell_angle_alpha 90.00
_cell_angle_beta 119.06
_cell_angle_gamma 90.00
loop_
_atom_site_label
_atom_site_fract_x
_atom_site_fract_y
_atom_site_fract_z
Pm1 0.0000 0.0000 0.0000
Pm2 0.1638 0.5000 0.6697
Cd1 0.1130 0.5000 0.2813
Hg1 0.0645 0.0000 0.3947
Hg2 0.2138 0.5000 0.0507
# raw total energy	-2.333	eV/atom
# mass density	10.59	g/cm3

Entry 7:
# PmCd2Hg3 (PBE-GGA, optimized geometry)
data_PmCd2Hg3
_space_group_name_H-M_alt 'C 1 2/m 1'
_space_group_IT_number 12
_space_group_name_Hall '-C 2y'
_cell_length_a 15.4322
_cell_length_b 4.8060
_cell_length_c 9.3479
_cell_angle_alpha 90.00
_cell_angle_beta 119.77
_cell_angle_gamma 90.00
loop_
_atom_site_label
_atom_site_fract_x
_atom_site_fract_y
_atom_site_fract_z
Pm1 0.1393 0.0000 0.0059
Cd1 0.0547 0.5000 0.1773
Cd2 0.2097 0.5000 0.5411
Hg1 0.0498 0.0000 0.3806
Hg2 0.1134 0.5000 0.7561
Hg3 0.2357 0.0000 0.7595
# raw total energy	-1.454	eV/atom
# mass density	10.72	g/cm3

Entry 8:
# Pm3Cd2Hg7 (PBE-GGA, optimized geometry)
data_Pm3Cd2Hg7
_space_group_name_H-M_alt 'P 1 2/m 1'
_space_group_IT_number 10
_space_group_name_Hall '-P 2y'
_cell_length_a 4.9949
_cell_length_b 3.9276
_cell_length_c 16.2495
_cell_angle_alpha 90.00
_cell_angle_beta 98.59
_cell_angle_gamma 90.00
loop_
_atom_site_label
_atom_site_fract_x
_atom_site_fract_y
_atom_site_fract_z
Pm1 0.0000 0.0000 0.0000
Pm2 0.3116 0.5000 0.6258
Cd1 0.1448 0.0000 0.2840
Hg1 0.0779 0.5000 0.1488
Hg2 0.2289 0.0000 0.4568
Hg3 0.4042 0.0000 0.8146
Hg4 0.5000 0.5000 0.0000
# raw total energy	-1.770	eV/atom
# mass density	10.87	g/cm3

Entry 9:
# Pm6CdHg6 (PBE-GGA, optimized geometry)
data_Pm6CdHg6
_space_group_name_H-M_alt 'P 6/m m m'
_space_group_IT_number 191
_space_group_name_Hall '-P 6 2'
_cell_length_a 6.3412
_cell_length_b 6.3412
_cell_length_c 10.7621
_cell_angle_alpha 90.00
_cell_angle_beta 90.00
_cell_angle_gamma 120.00
loop_
_atom_site_label
_atom_site_fract_x
_atom_site_fract_y
_atom_site_fract_z
Pm1 0.0000 0.0000 0.1813
Pm2 0.3333 0.6667 0.0000
Pm3 0.3333 0.6667 0.5000
Cd1 0.0000 0.0000 0.5000
Hg1 0.0000 0.5000 0.2531
# raw total energy	-2.677	eV/atom
# mass density	9.69	g/cm3

Entry 10:
# Pm2CdHg4 (PBE-GGA, optimized geometry)
data_Pm2CdHg4
_space_group_name_H-M_alt 'R -3 m'
_space_group_IT_number 166
_space_group_name_Hall '-R 3 2"'
_cell_length_a 5.0993
_cell_length_b 5.0993
_cell_length_c 25.4406
_cell_angle_alpha 90.00
_cell_angle_beta 90.00
_cell_angle_gamma 120.00
loop_
_atom_site_label
_atom_site_fract_x
_atom_site_fract_y
_atom_site_fract_z
Pm1 0.0000 0.0000 0.2475
Cd1 0.0000 0.0000 0.5000
Hg1 0.0000 0.0000 0.1212
Hg2 0.0000 0.0000 0.3706
# raw total energy	-1.987	eV/atom
# mass density	10.48	g/cm3

Entry 11:
# PmCdHg (PBE-GGA, optimized geometry)
data_PmCdHg
_space_group_name_H-M_alt 'C m c m'
_space_group_IT_number 63
_space_group_name_Hall '-C 2c 2'
_cell_length_a 3.5664
_cell_length_b 17.9844
_cell_length_c 4.8736
_cell_angle_alpha 90.00
_cell_angle_beta 90.00
_cell_angle_gamma 90.00
loop_
_atom_site_label
_atom_site_fract_x
_atom_site_fract_y
_atom_site_fract_z
Pm1 0.0000 0.1208 0.2500
Cd1 0.0000 0.4601 0.2500
Hg1 0.0000 0.2960 0.2500
# raw total energy	-2.314	eV/atom
# mass density	9.73	g/cm3

Entry 12:
# Pm8CdHg2 (PBE-GGA, optimized geometry)
data_Pm8CdHg2
_space_group_name_H-M_alt 'C 1 2/m 1'
_space_group_IT_number 12
_space_group_name_Hall '-C 2y'
_cell_length_a 16.5582
_cell_length_b 5.4972
_cell_length_c 8.7339
_cell_angle_alpha 90.00
_cell_angle_beta 121.42
_cell_angle_gamma 90.00
loop_
_atom_site_label
_atom_site_fract_x
_atom_site_fract_y
_atom_site_fract_z
Pm1 0.0699 0.0000 0.2224
Pm2 0.0927 0.5000 0.9508
Pm3 0.1382 0.0000 0.6916
Pm4 0.1806 0.5000 0.4497
Cd1 0.0000 0.5000 0.5000
Hg1 0.2284 0.0000 0.1229
# raw total energy	-3.809	eV/atom
# mass density	8.19	g/cm3

Please write out number 1 again, unchanged.
# Pm3Cd7Hg2 (PBE-GGA, optimized geometry)
data_Pm3Cd7Hg2
_space_group_name_H-M_alt 'P 1 2/m 1'
_space_group_IT_number 10
_space_group_name_Hall '-P 2y'
_cell_length_a 4.9197
_cell_length_b 4.0453
_cell_length_c 15.7775
_cell_angle_alpha 90.00
_cell_angle_beta 98.94
_cell_angle_gamma 90.00
loop_
_atom_site_label
_atom_site_fract_x
_atom_site_fract_y
_atom_site_fract_z
Pm1 0.0000 0.0000 0.0000
Pm2 0.3195 0.5000 0.6422
Cd1 0.0772 0.5000 0.1539
Cd2 0.2309 0.0000 0.4616
Cd3 0.4187 0.0000 0.8382
Cd4 0.5000 0.5000 0.0000
Hg1 0.1419 0.0000 0.2838
# raw total energy	-1.998	eV/atom
# mass density	8.69	g/cm3